1.
# Zr3Pd2Au3 PBE-GGA optimized geometry
data_Zr3Pd2Au3
_chemical_formula_sum 'Zr3 Pd2 Au3'
_symmetry_space_group_name_H-M 'P -6 2 m'
_symmetry_Int_Tables_number 189
_symmetry_space_group_name_Hall 'P -6 -2'
_cell_length_a 7.2357
_cell_length_b 7.2357
_cell_length_c 3.3961
_cell_angle_alpha 90.00
_cell_angle_beta 90.00
_cell_angle_gamma 120.00
loop_
_atom_site_label
_atom_site_fract_x
_atom_site_fract_y
_atom_site_fract_z
Zr1 0.0000 0.6005 0.0000
Pd1 0.3333 0.6667 0.5000
Au1 0.0000 0.2385 0.5000
# - Calculated total energy: -6.32 eV/atom

2.
# Zr2Pd7Au PBE-GGA optimized geometry
data_Zr2Pd7Au
_chemical_formula_sum 'Zr4 Pd14 Au2'
_symmetry_space_group_name_H-M 'C m m m'
_symmetry_Int_Tables_number 65
_symmetry_space_group_name_Hall '-C 2 2'
_cell_length_a 7.233
_cell_length_b 14.456
_cell_length_c 3.941
_cell_angle_alpha 90.00
_cell_angle_beta 90.00
_cell_angle_gamma 90.00
loop_
_atom_site_label
_atom_site_fract_x
_atom_site_fract_y
_atom_site_fract_z
Zr1 0.000 0.191 0.000
Pd1 0.000 0.000 0.000
Pd2 0.000 0.308 0.500
Pd3 0.191 0.398 0.000
Au1 0.000 0.500 0.500
# - Calculated total energy: -5.67 eV/atom